[1]
# KIr5 | the Alexandria database | PBE | optimized geometry
data_KIr5
_symmetry_space_group_name_H-M 'P 1'
_symmetry_Int_Tables_number 1
_symmetry_space_group_name_Hall 'P 1'
_cell_length_a 9.875
_cell_length_b 9.875
_cell_length_c 4.268
_cell_angle_alpha 90.00
_cell_angle_beta 90.00
_cell_angle_gamma 164.05
loop_
_atom_site_label
_atom_site_fract_x
_atom_site_fract_y
_atom_site_fract_z
_atom_site_occupancy
K1 0.097 0.903 0.500 1
Ir1 0.960 0.040 0.000 1
Ir2 0.338 0.662 0.000 1
Ir3 0.719 0.281 0.000 1
Ir4 0.427 0.573 0.500 1
Ir5 0.792 0.208 0.500 1
# **Relative energy among the computed polymorphs**: 0.145 eV per atom
# **Space group**: Amm2 (38)
# **ΔH_f (0 K)**: 0.484 eV/atom
# **Raw total energy**: -0.2603 Ha/atom
# **Spin magnetization**: 0.00 Bohr magnetons per cell



[2]
# K3Ir5 | the Alexandria database | PBE | optimized geometry
data_K3Ir5
_symmetry_space_group_name_H-M 'P 1'
_symmetry_Int_Tables_number 1
_symmetry_space_group_name_Hall 'P 1'
_cell_length_a 9.156
_cell_length_b 9.156
_cell_length_c 9.156
_cell_angle_alpha 94.48
_cell_angle_beta 94.48
_cell_angle_gamma 147.53
loop_
_atom_site_label
_atom_site_fract_x
_atom_site_fract_y
_atom_site_fract_z
_atom_site_occupancy
K1 0.250 0.250 0.000 1
K2 0.750 0.750 0.000 1
K3 0.287 0.787 0.074 1
K4 0.713 0.213 0.925 1
K5 0.212 0.287 0.500 1
K6 0.787 0.712 0.500 1
Ir1 0.750 0.250 0.499 1
Ir2 0.250 0.750 0.499 1
Ir3 0.683 0.969 0.651 1
Ir4 0.317 0.031 0.348 1
Ir5 0.817 0.469 0.285 1
Ir6 0.183 0.531 0.713 1
Ir7 0.531 0.817 0.348 1
Ir8 0.469 0.183 0.651 1
Ir9 0.031 0.683 0.713 1
Ir10 0.969 0.317 0.285 1
# **Space group**: Fmm2 (42)
# **ΔH_f (0 K)**: 0.746 eV/atom
# **Raw total energy**: -0.1912 Ha/atom
# **Spin magnetization**: 0.00 Bohr magnetons per cell



[3]
# K2Ir | the Alexandria database | PBE | optimized geometry
data_K2Ir
_symmetry_space_group_name_H-M 'P 1'
_symmetry_Int_Tables_number 1
_symmetry_space_group_name_Hall 'P 1'
_cell_length_a 6.089
_cell_length_b 6.089
_cell_length_c 6.089
_cell_angle_alpha 139.84
_cell_angle_beta 139.84
_cell_angle_gamma 58.09
loop_
_atom_site_label
_atom_site_fract_x
_atom_site_fract_y
_atom_site_fract_z
_atom_site_occupancy
Ir1 0.000 0.000 0.000 1
K1 0.650 0.650 0.000 1
K2 0.350 0.350 0.000 1
# **Space group**: I4/mmm (139)
# **ΔH_f (0 K)**: 0.997 eV/atom
# **Raw total energy**: -0.0988 Ha/atom
# **Spin magnetization**: 1.01 Bohr magnetons per cell



[4]
# KIr4 | the Alexandria database | PBE | optimized geometry
data_KIr4
_symmetry_space_group_name_H-M 'P 1'
_symmetry_Int_Tables_number 1
_symmetry_space_group_name_Hall 'P 1'
_cell_length_a 6.143
_cell_length_b 6.143
_cell_length_c 6.143
_cell_angle_alpha 139.73
_cell_angle_beta 139.73
_cell_angle_gamma 58.26
loop_
_atom_site_label
_atom_site_fract_x
_atom_site_fract_y
_atom_site_fract_z
_atom_site_occupancy
K1 0.000 0.000 0.000 1
Ir1 0.750 0.250 0.500 1
Ir2 0.250 0.750 0.500 1
Ir3 0.611 0.611 0.000 1
Ir4 0.389 0.389 0.000 1
# **Relative energy among the computed polymorphs**: 0.000 eV per atom
# **Space group**: I4/mmm (139)
# **ΔH_f (0 K)**: 0.592 eV/atom
# **Raw total energy**: -0.2468 Ha/atom
# **Spin magnetization**: 0.00 Bohr magnetons per cell



[5]
# KIr2 | the Alexandria database | PBE | optimized geometry
data_KIr2
_symmetry_space_group_name_H-M 'P 1'
_symmetry_Int_Tables_number 1
_symmetry_space_group_name_Hall 'P 1'
_cell_length_a 8.576
_cell_length_b 8.576
_cell_length_c 6.521
_cell_angle_alpha 59.40
_cell_angle_beta 59.40
_cell_angle_gamma 18.59
loop_
_atom_site_label
_atom_site_fract_x
_atom_site_fract_y
_atom_site_fract_z
_atom_site_occupancy
K1 0.448 0.448 0.827 1
K2 0.552 0.552 0.173 1
Ir1 0.745 0.745 0.172 1
Ir2 0.174 0.174 0.574 1
Ir3 0.255 0.255 0.828 1
Ir4 0.826 0.826 0.426 1
# **Space group**: C2/m (12)
# **ΔH_f (0 K)**: 0.473 eV/atom
# **Raw total energy**: -0.2131 Ha/atom
# **Spin magnetization**: 0.00 Bohr magnetons per cell



[6]
# KIr2 | the Alexandria database | PBE | optimized geometry
data_KIr2
_symmetry_space_group_name_H-M 'P 1'
_symmetry_Int_Tables_number 1
_symmetry_space_group_name_Hall 'P 1'
_cell_length_a 8.270
_cell_length_b 8.270
_cell_length_c 8.270
_cell_angle_alpha 160.71
_cell_angle_beta 136.53
_cell_angle_gamma 47.97
loop_
_atom_site_label
_atom_site_fract_x
_atom_site_fract_y
_atom_site_fract_z
_atom_site_occupancy
K1 0.193 0.693 0.500 1
K2 0.807 0.307 0.500 1
Ir1 0.799 0.000 0.799 1
Ir2 0.412 0.412 0.000 1
Ir3 0.588 0.588 0.000 1
Ir4 0.201 0.000 0.201 1
# **Space group**: Immm (71)
# **ΔH_f (0 K)**: 0.503 eV/atom
# **Raw total energy**: -0.2121 Ha/atom
# **Spin magnetization**: 0.91 Bohr magnetons per cell



| no. | DOS(E_F) (states/eV per atom) |
| --- | --- |
| 1 | 1.242 |
| 2 | 0.761 |
| 3 | 2.223 |
| 4 | 1.139 |
| 5 | 1.132 |
| 6 | 1.084 |